The following is a DFT calculation (PBE with a Hubbard U) of an optimized crystal structure of Cs2CeFe2O6.

a b c (Å): 6.287 6.287 7.050
angles (deg): 63.52 63.52 60.00
Fractional coordinates of all 11 atoms:
Cs: 0.780 0.780 0.661
Cs: 0.220 0.220 0.339
Ce: 0.000 0.000 0.000
Fe: 0.422 0.422 0.734
Fe: 0.578 0.578 0.266
O: 0.758 0.758 0.223
O: 0.261 0.758 0.223
O: 0.758 0.261 0.223
O: 0.242 0.739 0.777
O: 0.739 0.242 0.777
O: 0.242 0.242 0.777

spin magnetization	7.99	μB/f.u.
total DFT energy (no corrections)	-68.6	eV/cell